[1]
UVRu2: optimized geometry, PBE.

```
UVRu2
1.0
2.978 0.000 0.000
0.000 2.978 0.000
0.000 0.000 7.132
U V Ru
1 1 2
direct
0.000 0.000 0.000 U
0.000 0.000 0.500 V
0.500 0.500 0.291 Ru
0.500 0.500 0.709 Ru
```

## Properties
DFT formation energy ... -1.00 eV per formula unit
Total moment ... 0.00 μB/cell
SG ... No. 123


[2]
NaCuOs2: optimized geometry, PBE.

```
NaCuOs2
1.0
0.000 3.057 3.057
3.057 0.000 3.057
3.057 3.057 0.000
Na Cu Os
1 1 2
direct
0.000 0.000 0.000 Na
0.500 0.500 0.500 Cu
0.250 0.250 0.250 Os
0.750 0.750 0.750 Os
```

## Properties
DFT formation energy ... 5.45 eV per formula unit
Total moment ... 0.00 μB/cell
SG ... No. 225
Relative energy among the computed polymorphs ... 0.300 eV per atom


no.,VASP energy (eV/f.u.)
1,-39.96
2,-22.43